Entry 1:
A geometry-optimized CsLu2CuS4 structure, computed with PBE.

Unit cell a=7.2175 b=7.2175 c=13.6806 alpha=90.00 beta=90.00 gamma=148.24
Positions (direct):
Cs: 0.1079 0.8921 0.7500
Cs: 0.8921 0.1079 0.2500
Lu: 0.3666 0.6334 0.5617
Lu: 0.3666 0.6334 0.9383
Lu: 0.6334 0.3666 0.0617
Lu: 0.6334 0.3666 0.4383
Cu: 0.1678 0.8322 0.2500
Cu: 0.8322 0.1678 0.7500
S: 0.0000 0.0000 0.0000
S: 0.0000 0.0000 0.5000
S: 0.2539 0.7461 0.1026
S: 0.2539 0.7461 0.3974
S: 0.4187 0.5813 0.7500
S: 0.5813 0.4187 0.2500
S: 0.7461 0.2539 0.6026
S: 0.7461 0.2539 0.8974

Results
Total DFT energy (no corrections): -5.368 eV/atom
SG: Cmcm

Entry 2:
A geometry-optimized CsLuCuS3 structure, computed with PBE.

Unit cell a=9.2544 b=3.9231 c=9.7179 alpha=90.00 beta=112.51 gamma=90.00
Positions (direct):
Cs: 0.2149 0.2500 0.2452
Cs: 0.7851 0.7500 0.7548
Lu: 0.3308 0.7500 0.8603
Lu: 0.6692 0.2500 0.1397
Cu: 0.0825 0.2500 0.6085
Cu: 0.9175 0.7500 0.3915
S: 0.1321 0.2500 0.8582
S: 0.1789 0.7500 0.5512
S: 0.4774 0.7500 0.1543
S: 0.5226 0.2500 0.8457
S: 0.8211 0.2500 0.4488
S: 0.8679 0.7500 0.1418

Results
Energy above the lowest structure with this stoichiometry: 1 kJ/mol of formula units
SG: P2_1/m